The following is a PBE calculation of an optimized crystal structure of Tl2ZnRe, from Alexandria via LeMat-Bulk.

It has space group F-43m (No. 216), with a = 6.969 Å, b = 6.969 Å, c = 6.969 Å, α = 90.00°, β = 90.00° and γ = 90.00°. The asymmetric unit holds Tl at (0.000, 0.000, 0.000), Tl at (0.250, 0.250, 0.250), Zn at (0.000, 0.000, 0.500) and Re at (0.250, 0.250, 0.750).

The density of states at the Fermi level is 15.07 states/eV/cell. The value obtained for the excess energy over the best structure of this formula in the dataset is 483 meV per atom. The value obtained for the formation energy is 1131 meV per atom.